A relaxed BaCdN2 crystal, computed with PBE.

Cell: 5.2642 5.2642 12.5893 Å, 90.00 90.00 90.00°
Space group I-42d (No. 122)
Unique sites:
Ba1 0.0000 0.0000 0.0000 (multiplicity 4)
Cd1 0.0000 0.0000 0.5000 (multiplicity 4)
N1 0.1755 0.2500 0.6250 (multiplicity 8)

Properties
M_tot	8.00	μB per cell
calculated volume	349	Å³ per cell
E_form (uncorrected)	2.30	eV/f.u.
mass density	5.288	g/cm3

=====

A relaxed LaTm4Mg crystal, computed with PBE.

Cell: 3.5891 3.5891 14.0638 Å, 90.00 90.00 90.00°
Space group P4/mmm (No. 123)
Unique sites:
La1 0.0000 0.0000 0.0000 (multiplicity 1)
Tm1 0.0000 0.0000 0.3497 (multiplicity 2)
Tm2 0.5000 0.5000 0.1811 (multiplicity 2)
Mg1 0.5000 0.5000 0.5000 (multiplicity 1)

Properties
offset from the most stable computed form	0.000	kcal/mol of atoms
M_tot	0.00	μB per cell
calculated volume	181	Å³ per cell
ΔE_f	0.017	eV/f.u.
mass density	7.690	g/cm3

=====

A relaxed Ce6AgRh2 crystal, computed with PBE.

Cell: 10.9438 4.6811 9.1086 Å, 90.00 118.13 90.00°
Space group C2/m (No. 12)
Unique sites:
Ce1 0.0329 0.0000 0.1666 (multiplicity 4)
Ce2 0.1740 0.5000 0.5016 (multiplicity 4)
Ce3 0.1966 0.5000 0.1284 (multiplicity 4)
Ag1 0.0000 0.0000 0.5000 (multiplicity 2)
Rh1 0.1118 0.5000 0.7827 (multiplicity 4)

Properties
M_tot	2.03	μB per cell
calculated volume	412	Å³ per cell
ΔE_f	-2.917	eV/f.u.
mass density	9.316	g/cm3

=====

A relaxed AlTlHg2 crystal, computed with PBE.

Cell: 3.3714 3.9574 7.6040 Å, 90.00 90.00 90.00°
Space group Pmm2 (No. 25)
Unique sites:
Al1 0.0000 0.0000 0.0000 (multiplicity 1)
Tl1 0.5000 0.5000 0.7264 (multiplicity 1)
Hg1 0.0000 0.0000 0.4439 (multiplicity 1)
Hg2 0.5000 0.5000 0.1783 (multiplicity 1)

Properties
M_tot	0.00	μB per cell
calculated volume	101	Å³ per cell
ΔE_f	0.589	eV/f.u.
mass density	10.353	g/cm3

=====

A relaxed Cs4Rb2F crystal, computed with PBE.

Cell: 6.3961 6.3961 26.4367 Å, 90.00 90.00 90.00°
Space group I4/mmm (No. 139)
Unique sites:
Cs1 0.0000 0.0000 0.1183 (multiplicity 4)
Cs2 0.0000 0.5000 0.0000 (multiplicity 4)
Rb1 0.0000 0.0000 0.3078 (multiplicity 4)
F1 0.0000 0.0000 0.0000 (multiplicity 2)

Properties
M_tot	0.00	μB per cell
calculated volume	1082	Å³ per cell
E_form (uncorrected)	-4.84	eV/f.u.
mass density	2.216	g/cm3

=====

A relaxed La2PmPrEr crystal, computed with PBE.

Cell: 6.5406 7.9417 6.8546 Å, 90.00 90.00 90.00°
Space group Pmma (No. 51)
Unique sites:
La1 0.2500 0.2061 0.2107 (multiplicity 4)
Pm1 0.2500 0.5000 0.9098 (multiplicity 2)
Pr1 0.2500 0.0000 0.6883 (multiplicity 2)
Er1 0.0000 0.5000 0.5000 (multiplicity 2)

Properties
M_tot	0.00	μB per cell
calculated volume	356	Å³ per cell
ΔE_f	1.005	eV/f.u.
mass density	6.818	g/cm3

=====

A relaxed TaInW crystal, computed with PBE.

Cell: 2.8271 2.8271 13.8522 Å, 90.00 90.00 90.00°
Space group I4mm (No. 107)
Unique sites:
Ta1 0.0000 0.0000 0.0000 (multiplicity 2)
In1 0.0000 0.0000 0.6704 (multiplicity 2)
W1 0.0000 0.0000 0.3357 (multiplicity 2)

Properties
offset from the most stable computed form	4.629	kcal/mol of atoms
M_tot	0.00	μB per cell
calculated volume	111	Å³ per cell
ΔE_f	1.306	eV/f.u.
mass density	14.387	g/cm3

=====

A relaxed La5SbRu2 crystal, computed with PBE.

Cell: 8.0958 8.0958 13.9316 Å, 90.00 90.00 90.00°
Space group I4/mcm (No. 140)
Unique sites:
La1 0.0000 0.0000 0.0000 (multiplicity 4)
La2 0.1594 0.3406 0.1331 (multiplicity 16)
Sb1 0.0000 0.0000 0.2500 (multiplicity 4)
Ru1 0.1437 0.3563 0.5000 (multiplicity 8)

Properties
M_tot	0.00	μB per cell
calculated volume	913	Å³ per cell
E_form (uncorrected)	-4.32	eV/f.u.
mass density	7.408	g/cm3

=====

A relaxed Mg2CdMo crystal, computed with PBE.

Cell: 2.8340 4.8271 5.5995 Å, 90.00 99.49 90.00°
Space group Pm (No. 6)
Unique sites:
Mg1 0.0000 0.0000 0.0000 (multiplicity 1)
Mg2 0.2126 0.5000 0.7286 (multiplicity 1)
Cd1 0.4548 0.0000 0.4708 (multiplicity 1)
Mo1 0.7070 0.5000 0.2221 (multiplicity 1)

Properties
M_tot	0.00	μB per cell
calculated volume	76	Å³ per cell
ΔE_f	1.209	eV/f.u.
mass density	5.648	g/cm3

=====

A relaxed Pr2PaAs3Rh12 crystal, computed with PBE.

Cell: 9.1152 9.1152 13.2247 Å, 90.00 90.00 120.00°
Space group R-3m (No. 166, hexagonal axes)
Unique sites:
Pr1 0.0000 0.0000 0.1809 (multiplicity 6)
Pa1 0.0000 0.0000 0.5000 (multiplicity 3)
As1 0.0000 0.5000 0.0000 (multiplicity 9)
Rh1 0.0009 0.5004 0.1869 (multiplicity 18)
Rh2 0.0016 0.5008 0.6176 (multiplicity 18)

Properties
M_tot	0.00	μB per cell
calculated volume	952	Å³ per cell
ΔE_f	-6.002	eV/f.u.
mass density	10.326	g/cm3

=====

A relaxed ErSb crystal, computed with PBE.

Cell: 6.1549 6.1549 6.1549 Å, 90.00 90.00 90.00°
Space group Fm-3m (No. 225)
Unique sites:
Er1 0.0000 0.0000 0.0000 (multiplicity 4)
Sb1 0.0000 0.0000 0.5000 (multiplicity 4)

Properties
M_tot	0.00	μB per cell
calculated volume	233	Å³ per cell
E_form (uncorrected)	-2.19	eV/f.u.
mass density	8.233	g/cm3

=====

A relaxed CrCuPd6 crystal, computed with PBE.

Cell: 3.8980 3.8980 7.8078 Å, 90.00 90.00 90.00°
Space group P4/mmm (No. 123)
Unique sites:
Cr1 0.0000 0.0000 0.0000 (multiplicity 1)
Cu1 0.0000 0.0000 0.5000 (multiplicity 1)
Pd1 0.0000 0.5000 0.2489 (multiplicity 4)
Pd2 0.5000 0.5000 0.0000 (multiplicity 1)
Pd3 0.5000 0.5000 0.5000 (multiplicity 1)

Properties
offset from the most stable computed form	0.000	kcal/mol of atoms
M_tot	2.81	μB per cell
calculated volume	119	Å³ per cell
ΔE_f	-0.530	eV/f.u.
mass density	10.555	g/cm3